Compound: BaSr2Cu2
Source: Alexandria
Functional: PBE-GGA
Structure: optimized geometry

Calculated values
For the energy above the most stable polymorph in this dataset, the calculation gives 181 meV/atom. The density of states at the Fermi level comes out at 9.203 states/eV per cell. Its crystal system is tetragonal. The value obtained for the formation energy is 16 kJ per mole of atoms.

Cell: 9.2339 9.2339 3.6996 Å, 90.00 90.00 90.00°
With the nearest neighbours (Å) after each atom.
Atoms (fractional coordinates):
Ba: 0.0000 0.0000 0.0000  4 Sr 3.60, 2 Ba 3.70, 8 Cu 3.92
Ba: 0.5000 0.5000 0.0000  4 Sr 3.60, 2 Ba 3.70, 8 Cu 3.92
Sr: 0.1334 0.3666 0.0000  6 Cu 3.24-3.31, 1 Sr 3.48, 2 Ba 3.60
Sr: 0.3666 0.8666 0.0000  6 Cu 3.24-3.31, 1 Sr 3.48, 2 Ba 3.60
Sr: 0.6334 0.1334 0.0000  6 Cu 3.24-3.31, 1 Sr 3.48, 2 Ba 3.60
Sr: 0.8666 0.6334 0.0000  6 Cu 3.24-3.31, 1 Sr 3.48, 2 Ba 3.60
Cu: 0.1626 0.6626 0.5000  6 Sr 3.24-3.31
Cu: 0.3374 0.1626 0.5000  6 Sr 3.24-3.31
Cu: 0.6626 0.8374 0.5000  6 Sr 3.24-3.31
Cu: 0.8374 0.3374 0.5000  6 Sr 3.24-3.31


Compound: KHIrCl6
Source: Alexandria
Functional: PBE-GGA
Structure: optimized geometry

Calculated values
The density of states at the Fermi level comes out at 5.204 states/eV per cell. Its crystal system is triclinic. As for the total energy: -3.483 eV per atom.

Cell: 6.2253 6.4694 6.8343 Å, 96.28 100.73 110.61°
With the nearest neighbours (Å) after each atom.
Atoms (fractional coordinates):
K: 0.0000 0.0000 0.0000  6 Cl 3.19-3.45
H: 0.3808 0.3945 0.4664  1 Cl 1.43
Ir: 0.8532 0.3689 0.4586  6 Cl 2.32-2.38
Cl: 0.0124 0.5410 0.2071  1 Ir 2.34
Cl: 0.1180 0.1834 0.4861  1 H 1.76
Cl: 0.1321 0.6634 0.7091  1 Ir 2.33
Cl: 0.5783 0.0712 0.2026  1 Ir 2.35
Cl: 0.5900 0.5621 0.4377  1 H 1.43
Cl: 0.6876 0.1903 0.7019  1 Ir 2.32


Compound: TlMoRh3
Source: Alexandria
Functional: PBE-GGA
Structure: optimized geometry

Calculated values
For the energy above the most stable polymorph in this dataset, the calculation gives 0 meV/atom. The density of states at the Fermi level comes out at 3.670 states/eV per cell. Its crystal system is cubic. The value obtained for the formation energy is 88 kJ per mole of atoms.

Cell: 4.7356 4.7356 4.7356 Å, 90.00 90.00 90.00°
With the nearest neighbours (Å) after each atom.
Atoms (fractional coordinates):
Tl: 0.0000 0.0000 0.0000  12 Rh 3.35
Mo: 0.5000 0.5000 0.5000  6 Rh 2.37
Rh: 0.0000 0.5000 0.5000  2 Mo 2.37
Rh: 0.5000 0.0000 0.5000  2 Mo 2.37
Rh: 0.5000 0.5000 0.0000  2 Mo 2.37


Compound: Sr4GeS6
Source: Alexandria
Functional: PBE-GGA
Structure: optimized geometry

Calculated values
The density of states at the Fermi level comes out at 0.000 states/eV per cell. The calculation puts the energy relative to the elements, uncorrected at -1574 meV/atom. Its crystal system is monoclinic.

Cell: 8.0284 8.0284 13.9478 Å, 109.98 109.98 56.61°
With the nearest neighbours (Å) after each atom.
Atoms (fractional coordinates):
Sr: 0.1293 0.8707 0.5000  4 S 2.86-3.16
Sr: 0.2337 0.4910 0.0349  5 S 2.84-3.09
Sr: 0.4371 0.8218 0.8630  5 S 2.85-3.14
Sr: 0.4910 0.2337 0.5349  5 S 2.84-3.09
Sr: 0.6275 0.9612 0.2104  4 S 2.83-3.13
Sr: 0.8218 0.4371 0.3630  5 S 2.85-3.14
Sr: 0.8707 0.1293 0.0000  4 S 2.86-3.16
Sr: 0.9612 0.6275 0.7104  4 S 2.83-3.13
Ge: 0.2963 0.8402 0.2680  4 S 2.23-2.27
Ge: 0.8402 0.2963 0.7680  4 S 2.23-2.27
S: 0.0842 0.5612 0.5269  4 Sr 2.83-2.86
S: 0.1027 0.7024 0.2403  1 Ge 2.23
S: 0.1402 0.1493 0.7231  1 Ge 2.23
S: 0.1493 0.1402 0.2231  1 Ge 2.23
S: 0.1699 0.7430 0.9090  4 Sr 2.85-2.86
S: 0.4565 0.8527 0.4362  1 Ge 2.26
S: 0.5516 0.6189 0.1776  1 Ge 2.27
S: 0.5612 0.0842 0.0269  4 Sr 2.83-2.86
S: 0.6189 0.5516 0.6776  1 Ge 2.27
S: 0.7024 0.1027 0.7403  1 Ge 2.23
S: 0.7430 0.1699 0.4090  4 Sr 2.85-2.86
S: 0.8527 0.4565 0.9362  1 Ge 2.26


Compound: Ba4P2H
Source: Alexandria
Functional: PBE-GGA
Structure: optimized geometry

Calculated values
For the energy above the most stable polymorph in this dataset, the calculation gives 66 meV/atom. The density of states at the Fermi level comes out at 3.864 states/eV per cell. Its crystal system is orthorhombic.

Cell: 8.2296 12.5240 4.7920 Å, 90.00 90.00 90.00°
With the nearest neighbours (Å) after each atom.
Atoms (fractional coordinates):
Ba: 0.1203 0.1949 0.0000  1 H 2.63
Ba: 0.2238 0.4384 0.5000  3 P 3.17-3.37, 2 H 3.39
Ba: 0.2762 0.9384 0.5000  3 P 3.17-3.37, 2 H 3.39
Ba: 0.3797 0.6949 0.0000  1 H 2.63
Ba: 0.6203 0.3051 0.0000  1 H 2.63
Ba: 0.7238 0.0616 0.5000  3 P 3.17-3.37, 2 H 3.39
Ba: 0.7762 0.5616 0.5000  3 P 3.17-3.37, 2 H 3.39
Ba: 0.8797 0.8051 0.0000  1 H 2.63
P: 0.1043 0.6940 0.5000  7 Ba 3.17-3.37
P: 0.3957 0.1940 0.5000  7 Ba 3.17-3.37
P: 0.6043 0.8060 0.5000  7 Ba 3.17-3.37
P: 0.8957 0.3060 0.5000  7 Ba 3.17-3.37
H: 0.0000 0.0000 0.0000  2 Ba 2.63
H: 0.5000 0.5000 0.0000  2 Ba 2.63


Compound: LaSiSn2
Source: Alexandria
Functional: PBE-GGA
Structure: optimized geometry

Calculated values
The density of states at the Fermi level comes out at 2.202 states/eV per cell. The calculation puts the energy relative to the elements, uncorrected at -392 meV/atom. Its crystal system is tetragonal.

Cell: 4.5565 4.5565 4.8554 Å, 90.00 90.00 90.00°
With the nearest neighbours (Å) after each atom.
Atoms (fractional coordinates):
La: 0.0000 0.0000 0.0000  4 Si 3.22, 8 Sn 3.33
Si: 0.5000 0.5000 0.0000  4 La 3.22, 8 Sn 3.33
Sn: 0.0000 0.5000 0.5000  4 Sn 3.22, 4 La 3.33, 4 Si 3.33
Sn: 0.5000 0.0000 0.5000  4 Sn 3.22, 4 La 3.33, 4 Si 3.33


Compound: Ho8ZnAg2
Source: Alexandria
Functional: PBE-GGA
Structure: optimized geometry

Calculated values
The density of states at the Fermi level comes out at 10.017 states/eV per cell. Its crystal system is monoclinic. The value obtained for the formation energy is -14 kJ per mole of atoms.

Cell: 9.1906 9.1906 6.8516 Å, 106.36 106.36 32.65°
With the nearest neighbours (Å) after each atom.
Atoms (fractional coordinates):
Ho: 0.0275 0.0275 0.2814  1 Ag 2.90, 2 Zn 3.09
Ho: 0.1971 0.1971 0.8111  1 Ag 2.88
Ho: 0.3336 0.3336 0.5239  3 Ag 2.85-3.19, 1 Zn 2.99
Ho: 0.4070 0.4070 0.0436  1 Zn 3.08, 2 Ag 3.28, 3 Ho 3.41-3.44
Ho: 0.5930 0.5930 0.9564  1 Zn 3.08, 2 Ag 3.28, 3 Ho 3.41-3.44
Ho: 0.6664 0.6664 0.4761  3 Ag 2.85-3.19, 1 Zn 2.99
Ho: 0.8029 0.8029 0.1889  1 Ag 2.88
Ho: 0.9725 0.9725 0.7186  1 Ag 2.90, 2 Zn 3.09
Zn: 0.5000 0.5000 0.5000  8 Ho 2.99-3.09
Ag: 0.1832 0.1832 0.2193  5 Ho 2.85-3.19
Ag: 0.8168 0.8168 0.7807  5 Ho 2.85-3.19


Compound: LiTl2InS
Source: Alexandria
Functional: PBE-GGA
Structure: optimized geometry

Calculated values
The density of states at the Fermi level comes out at 2.002 states/eV per cell. The calculation puts the energy relative to the elements, uncorrected at -136 meV/atom. Its crystal system is tetragonal.

Cell: 5.5973 5.5973 4.3040 Å, 90.00 90.00 90.00°
With the nearest neighbours (Å) after each atom.
Atoms (fractional coordinates):
Li: 0.0000 0.0000 0.0000  2 S 2.15
Tl: 0.0000 0.5000 0.0000  2 Li 2.80
Tl: 0.5000 0.0000 0.0000  2 Li 2.80
In: 0.5000 0.5000 0.5000  8 Tl 3.53
S: 0.0000 0.0000 0.5000  2 Li 2.15


Compound: Cs2CdSeO
Source: Alexandria
Functional: PBE-GGA
Structure: optimized geometry

Calculated values
The density of states at the Fermi level comes out at 9.464 states/eV per cell. The calculation puts the energy relative to the elements, uncorrected at -177 meV/atom. Its crystal system is tetragonal.

Cell: 7.0965 7.0965 5.1527 Å, 90.00 90.00 90.00°
With the nearest neighbours (Å) after each atom.
Atoms (fractional coordinates):
Cs: 0.0000 0.5000 0.0000  2 Cd 3.55
Cs: 0.5000 0.0000 0.0000  2 Cd 3.55
Cd: 0.0000 0.0000 0.0000  2 Se 2.58
Se: 0.0000 0.0000 0.5000  2 Cd 2.58
O: 0.5000 0.5000 0.5000  8 Cs 4.38


Compound: Th2Zn12Ni5
Source: Alexandria
Functional: PBE-GGA
Structure: optimized geometry

Calculated values
The density of states at the Fermi level comes out at 10.559 states/eV per cell. Its crystal system is trigonal. The value obtained for the formation energy is -26 kJ per mole of atoms.

Cell: 6.6730 6.6730 6.6730 Å, 84.10 84.10 84.10°
With the nearest neighbours (Å) after each atom.
Atoms (fractional coordinates):
Th: 0.1716 0.1716 0.1716  1 Ni 2.75
Th: 0.8284 0.8284 0.8284  1 Ni 2.75
Zn: 0.1553 0.1553 0.6466  3 Ni 2.56-2.68, 6 Zn 2.64-2.74
Zn: 0.1553 0.6466 0.1553  3 Ni 2.56-2.68, 6 Zn 2.64-2.74
Zn: 0.2176 0.5000 0.7824  2 Ni 2.49, 6 Zn 2.52-2.74
Zn: 0.2176 0.7824 0.5000  2 Ni 2.49, 6 Zn 2.52-2.74
Zn: 0.3534 0.8447 0.8447  3 Ni 2.56-2.68, 6 Zn 2.64-2.74
Zn: 0.5000 0.2176 0.7824  2 Ni 2.49, 6 Zn 2.52-2.74
Zn: 0.5000 0.7824 0.2176  2 Ni 2.49, 6 Zn 2.52-2.74
Zn: 0.6466 0.1553 0.1553  3 Ni 2.56-2.68, 6 Zn 2.64-2.74
Zn: 0.7824 0.2176 0.5000  2 Ni 2.49, 6 Zn 2.52-2.74
Zn: 0.7824 0.5000 0.2176  2 Ni 2.49, 6 Zn 2.52-2.74
Zn: 0.8447 0.3534 0.8447  3 Ni 2.56-2.68, 6 Zn 2.64-2.74
Zn: 0.8447 0.8447 0.3534  3 Ni 2.56-2.68, 6 Zn 2.64-2.74
Ni: 0.0000 0.5000 0.5000  8 Zn 2.49-2.56, 2 Ni 2.67
Ni: 0.3886 0.3886 0.3886  4 Ni 2.67-2.83, 9 Zn 2.68-2.89, 1 Th 2.75
Ni: 0.5000 0.0000 0.5000  8 Zn 2.49-2.56, 2 Ni 2.67
Ni: 0.5000 0.5000 0.0000  8 Zn 2.49-2.56, 2 Ni 2.67
Ni: 0.6114 0.6114 0.6114  4 Ni 2.67-2.83, 9 Zn 2.68-2.89, 1 Th 2.75


Compound: NaRe2Ir2
Source: Alexandria
Functional: PBE-GGA
Structure: optimized geometry

Calculated values
For the energy above the most stable polymorph in this dataset, the calculation gives 110 meV/atom. The density of states at the Fermi level comes out at 8.777 states/eV per cell. Its crystal system is tetragonal. The value obtained for the formation energy is 20 kJ per mole of atoms.

Cell: 7.8061 7.8061 2.7065 Å, 90.00 90.00 90.00°
With the nearest neighbours (Å) after each atom.
Atoms (fractional coordinates):
Na: 0.0000 0.0000 0.0000  2 Na 2.71
Na: 0.5000 0.5000 0.0000  2 Na 2.71
Re: 0.1680 0.3320 0.5000  6 Ir 2.66-2.67, 2 Re 2.71
Re: 0.3320 0.8320 0.5000  6 Ir 2.66-2.67, 2 Re 2.71
Re: 0.6680 0.1680 0.5000  6 Ir 2.66-2.67, 2 Re 2.71
Re: 0.8320 0.6680 0.5000  6 Ir 2.66-2.67, 2 Re 2.71
Ir: 0.1241 0.6241 0.0000  6 Re 2.66-2.67, 3 Ir 2.71-2.74
Ir: 0.3759 0.1241 0.0000  6 Re 2.66-2.67, 3 Ir 2.71-2.74
Ir: 0.6241 0.8759 0.0000  6 Re 2.66-2.67, 3 Ir 2.71-2.74
Ir: 0.8759 0.3759 0.0000  6 Re 2.66-2.67, 3 Ir 2.71-2.74


Compound: CaSeOF2
Source: Alexandria
Functional: PBE-GGA
Structure: optimized geometry

Calculated values
For the energy above the most stable polymorph in this dataset, the calculation gives 0 meV/atom. The density of states at the Fermi level comes out at 2.152 states/eV per cell. The calculation puts the energy relative to the elements, uncorrected at -1463 meV/atom. Its crystal system is tetragonal.

Cell: 4.2380 4.2380 4.8537 Å, 90.00 90.00 90.00°
With the nearest neighbours (Å) after each atom.
Atoms (fractional coordinates):
Ca: 0.0000 0.0000 0.0000  4 F 2.12
Se: 0.5000 0.5000 0.5000  4 O 3.00, 8 F 3.22
O: 0.0000 0.0000 0.5000  2 Ca 2.43
F: 0.0000 0.5000 0.0000  2 Ca 2.12
F: 0.5000 0.0000 0.0000  2 Ca 2.12